Density functional theory data (PBE-GGA) for crystalline CeSmHo4Er2 at its relaxed geometry.

* crystal system: orthorhombic
* space-group type: Pmmm
* formation enthalpy at 0 K: 0.0467 eV per atom
* E: -4.715 eV/atom

extended XYZ file:
```
8
Lattice="5.0075 -0.0001 0.0000 -0.0001 4.8750 1.0961 0.0000 2.6871 10.8249" Properties=species:S:1:pos:R:3 pbc="T T T"
Ce 0.0000 3.7811 5.9606
Sm 2.5037 2.4375 0.5481
Ho 0.0000 1.8854 3.0010
Ho 2.5037 3.2408 8.3683
Ho 2.5037 4.3213 3.5527
Er 0.0000 2.6871 10.8249
Ho 5.0075 5.6766 8.9200
Er 2.5038 1.3435 5.4124
```